1.
Density functional theory data (GGA-PBE) for a geometry-optimized MnGaIr structure.

Unit cell a=2.966 b=2.966 c=5.290 alpha=106.28 beta=106.28 gamma=90.00
Site moments in Bohr magnetons follow the coordinates.
Fractional coordinates of all 3 atoms:
Mn 0.283 0.283 0.567  3.29
Ir 0.613 0.613 0.227  0.20
Ga 0.953 0.953 0.906  -0.07

Values from the calculation:
calculated formation energy = -190 meV/atom



2.
Density functional theory data (GGA-PBE) for a geometry-optimized Ho6TmZr structure.

Unit cell a=6.269 b=6.271 c=9.312 alpha=70.46 beta=70.61 gamma=60.05
Site moments in Bohr magnetons follow the coordinates.
Fractional coordinates of all 8 atoms:
Ho 0.309 0.939 0.190  0.07
Ho 0.060 0.437 0.809  0.07
Ho 0.940 0.563 0.191  0.07
Ho 0.565 0.308 0.189  0.07
Zr 0.000 0.000 0.000  0.45
Ho 0.435 0.692 0.811  0.07
Tm 0.500 0.500 0.500  -0.07
Ho 0.691 0.061 0.810  0.07

Values from the calculation:
calculated formation energy = 674 meV/atom